No. 1
A plane-wave DFT calculation with PBE-GGA was carried out for an optimized crystal structure of LaTb2Pr4.

Computed properties:
Offset from the most stable computed form   0 kJ/mol of formula units
Magnetization   0.0 μB per formula unit
VASP energy   -65.8 eV/cell
Calculated formation energy   0.061 eV per atom

a = 12.755 Å, b = 12.755 Å, c = 6.938 Å
α = 96.99°, β = 96.99°, γ = 150.16°
Fractional positions:
Tb (0.925, 0.107, 0.052)
Tb (0.306, 0.624, 0.948)
Tb (0.107, 0.925, 0.552)
Tb (0.624, 0.306, 0.448)
La (0.673, 0.423, 0.000)
La (0.423, 0.673, 0.500)
Pr (0.030, 0.136, 0.596)
Pr (0.790, 0.184, 0.404)
Pr (0.723, 0.187, 0.880)
Pr (0.558, 0.594, 0.121)
Pr (0.594, 0.558, 0.621)
Pr (0.184, 0.790, 0.904)
Pr (0.187, 0.723, 0.380)
Pr (0.136, 0.030, 0.096)

---

No. 2
A plane-wave DFT calculation with PBE-GGA was carried out for an optimized crystal structure of La3Tb4Pr2.

Computed properties:
Offset from the most stable computed form   0 kJ/mol of formula units
Magnetization   0.0 μB per formula unit
VASP energy   -42.6 eV/cell
Calculated formation energy   0.026 eV per atom

a = 5.186 Å, b = 8.164 Å, c = 15.026 Å
α = 144.23°, β = 90.00°, γ = 108.52°
Fractional positions:
Tb (0.109, 0.218, 0.330)
Tb (0.891, 0.782, 0.670)
Tb (0.670, 0.340, 0.002)
Tb (0.330, 0.660, 0.998)
La (0.553, 0.105, 0.665)
La (0.000, 0.000, 0.000)
La (0.447, 0.895, 0.335)
Pr (0.226, 0.453, 0.669)
Pr (0.774, 0.547, 0.331)

---

No. 3
A plane-wave DFT calculation with PBE-GGA was carried out for an optimized crystal structure of La4Tb2Pr5.

Computed properties:
Offset from the most stable computed form   114 kJ/mol of formula units
Magnetization   0.0 μB per formula unit
VASP energy   -50.9 eV/cell
Calculated formation energy   0.179 eV per atom

a = 3.613 Å, b = 11.766 Å, c = 11.232 Å
α = 121.58°, β = 99.26°, γ = 90.00°
Fractional positions:
Tb (0.203, 0.203, 0.406)
Tb (0.797, 0.797, 0.594)
Pr (0.500, 0.000, 0.000)
Pr (0.822, 0.531, 0.643)
Pr (0.178, 0.469, 0.357)
Pr (0.178, 0.887, 0.357)
Pr (0.822, 0.113, 0.643)
La (0.000, 0.256, 0.000)
La (0.413, 0.413, 0.825)
La (0.000, 0.744, 0.000)
La (0.587, 0.587, 0.175)

---

No. 4
A plane-wave DFT calculation with PBE-GGA was carried out for an optimized crystal structure of La12TbPr7.

Computed properties:
Offset from the most stable computed form   113 kJ/mol of formula units
Magnetization   0.0 μB per formula unit
VASP energy   -92.6 eV/cell
Calculated formation energy   0.231 eV per atom

a = 7.157 Å, b = 11.209 Å, c = 11.209 Å
α = 64.40°, β = 77.71°, γ = 102.29°
Fractional positions:
La (0.727, 0.474, 0.071)
La (0.273, 0.526, 0.929)
La (0.283, 0.218, 0.214)
La (0.934, 0.432, 0.782)
La (0.717, 0.782, 0.786)
La (0.498, 0.214, 0.568)
La (0.799, 0.071, 0.455)
La (0.253, 0.455, 0.474)
La (0.502, 0.786, 0.432)
La (0.747, 0.545, 0.526)
La (0.201, 0.929, 0.545)
La (0.066, 0.568, 0.218)
Pr (0.500, 0.000, 0.000)
Pr (0.079, 0.852, 0.308)
Pr (0.386, 0.308, 0.841)
Pr (0.773, 0.159, 0.148)
Pr (0.227, 0.841, 0.852)
Pr (0.614, 0.692, 0.159)
Pr (0.921, 0.148, 0.692)
Tb (0.000, 0.000, 0.000)

---

No. 5
A plane-wave DFT calculation with PBE-GGA was carried out for an optimized crystal structure of La7Tb12Pr.

Computed properties:
Offset from the most stable computed form   0 kJ/mol of formula units
Magnetization   0.0 μB per formula unit
VASP energy   -90.5 eV/cell
Calculated formation energy   0.217 eV per atom

a = 8.887 Å, b = 8.887 Å, c = 8.887 Å
α = 86.53°, β = 86.53°, γ = 86.53°
Fractional positions:
La (0.081, 0.162, 0.395)
La (0.605, 0.919, 0.838)
La (0.838, 0.605, 0.919)
La (0.162, 0.395, 0.081)
La (0.395, 0.081, 0.162)
La (0.500, 0.500, 0.500)
La (0.919, 0.838, 0.605)
Pr (0.000, 0.000, 0.000)
Tb (0.620, 0.133, 0.496)
Tb (0.855, 0.256, 0.724)
Tb (0.744, 0.276, 0.145)
Tb (0.724, 0.855, 0.256)
Tb (0.256, 0.724, 0.855)
Tb (0.867, 0.504, 0.380)
Tb (0.504, 0.380, 0.867)
Tb (0.496, 0.620, 0.133)
Tb (0.380, 0.867, 0.504)
Tb (0.145, 0.744, 0.276)
Tb (0.133, 0.496, 0.620)
Tb (0.276, 0.145, 0.744)

---

No. 6
A plane-wave DFT calculation with PBE-GGA was carried out for an optimized crystal structure of La4TbPr.

Computed properties:
Offset from the most stable computed form   0 kJ/mol of formula units
Magnetization   0.0 μB per formula unit
VASP energy   -29.0 eV/cell
Calculated formation energy   0.018 eV per atom

a = 3.691 Å, b = 5.255 Å, c = 12.266 Å
α = 115.37°, β = 90.00°, γ = 90.00°
Fractional positions:
Tb (0.500, 0.000, 0.500)
La (0.500, 0.672, 0.172)
La (0.000, 0.333, 0.333)
La (0.500, 0.328, 0.828)
La (0.000, 0.667, 0.667)
Pr (0.000, 0.000, 0.000)

---

No. 7
A plane-wave DFT calculation with PBE-GGA was carried out for an optimized crystal structure of La2TbPr2.

Computed properties:
Offset from the most stable computed form   110 kJ/mol of formula units
Magnetization   0.0 μB per formula unit
VASP energy   -45.5 eV/cell
Calculated formation energy   0.258 eV per atom

a = 6.480 Å, b = 7.072 Å, c = 8.914 Å
α = 113.37°, β = 90.00°, γ = 90.00°
Fractional positions:
La (0.750, 0.402, 0.336)
La (0.750, 0.934, 0.336)
La (0.250, 0.598, 0.664)
La (0.250, 0.066, 0.664)
Pr (0.250, 0.171, 0.342)
Pr (0.250, 0.591, 0.181)
Pr (0.750, 0.409, 0.819)
Pr (0.750, 0.829, 0.658)
Tb (0.000, 0.000, 0.000)
Tb (0.500, 0.000, 0.000)

---

No. 8
A plane-wave DFT calculation with PBE-GGA was carried out for an optimized crystal structure of La3Tb12Pr.

Computed properties:
Magnetization   0.0 μB per formula unit
VASP energy   -74.7 eV/cell
Calculated formation energy   0.025 eV per atom

a = 5.103 Å, b = 5.103 Å, c = 20.396 Å
α = 90.00°, β = 90.00°, γ = 90.00°
Fractional positions:
Tb (0.000, 0.500, 0.625)
Tb (0.000, 0.500, 0.876)
Tb (0.500, 0.000, 0.124)
Tb (0.500, 0.500, 0.249)
Tb (0.000, 0.500, 0.375)
Tb (0.000, 0.500, 0.124)
Tb (0.500, 0.000, 0.625)
Tb (0.500, 0.500, 0.500)
Tb (0.500, 0.000, 0.375)
Tb (0.500, 0.000, 0.876)
Tb (0.500, 0.500, 0.751)
Tb (0.500, 0.500, 0.000)
La (0.000, 0.000, 0.750)
La (0.000, 0.000, 0.250)
La (0.000, 0.000, 0.500)
Pr (0.000, 0.000, 0.000)

---

- Which value of calculated formation energy does entry 3 give?
  0.179 eV per atom